Crystalline LiGeMoO4 at its relaxed geometry. Source: Alexandria, functional GGA+U.

The total moment is 3.000 μB/f.u. As for the total energy: -6.565 eV per atom.

It has space group Cmcm (No. 63), with a = 5.736 Å, b = 8.816 Å, c = 6.492 Å, α = 90.00°, β = 90.00° and γ = 90.00°. Symmetry generates all atoms from Li at (0.000, 0.161, 0.250), Ge at (0.000, 0.154, 0.750), Mo at (0.000, 0.500, 0.000), O at (0.000, 0.258, 0.522) and O at (0.242, 0.018, 0.750).